[1]
DFT (GGA-PBE) results for an optimized crystal structure of Tb2Ga3Ge4.

Computed properties:
The space-group type is Cmce. For the energy, the calculation gives -4.471 eV per atom. Its formation energy is -381 meV per atom.

```
data_Tb2Ga3Ge4
_space_group_name_H-M_alt 'P 1'
_space_group_IT_number 1
_cell_length_a 7.9647
_cell_length_b 7.9647
_cell_length_c 8.0276
_cell_angle_alpha 90.00
_cell_angle_beta 90.00
_cell_angle_gamma 134.46
loop_
_space_group_symop_operation_xyz
'x,y,z'
loop_
_atom_site_label
_atom_site_fract_x
_atom_site_fract_y
_atom_site_fract_z
_atom_site_occupancy
Tb1 0.1170 0.8830 0.9183 1
Tb2 0.3830 0.6170 0.4183 1
Tb3 0.6170 0.3830 0.5817 1
Tb4 0.8830 0.1170 0.0817 1
Ga1 0.0000 0.0000 0.5000 1
Ga2 0.0358 0.4642 0.7500 1
Ga3 0.4642 0.0358 0.2500 1
Ga4 0.5000 0.5000 0.0000 1
Ga5 0.5358 0.9642 0.7500 1
Ga6 0.9642 0.5358 0.2500 1
Ge1 0.1869 0.8131 0.5558 1
Ge2 0.2081 0.2919 0.7500 1
Ge3 0.2919 0.2081 0.2500 1
Ge4 0.3131 0.6869 0.0558 1
Ge5 0.6869 0.3131 0.9442 1
Ge6 0.7081 0.7919 0.7500 1
Ge7 0.7919 0.7081 0.2500 1
Ge8 0.8131 0.1869 0.4442 1
```

***

[2]
DFT (GGA-PBE) results for an optimized crystal structure of Sc2BiBr4.

Computed properties:
The space-group type is I4/mmm. For the energy, the calculation gives -3.645 eV per atom. The formation energy without anion corrections comes out at -326 meV/atom.

```
data_Sc2BiBr4
_space_group_name_H-M_alt 'P 1'
_space_group_IT_number 1
_cell_length_a 5.9757
_cell_length_b 5.9757
_cell_length_c 15.2461
_cell_angle_alpha 90.00
_cell_angle_beta 90.00
_cell_angle_gamma 90.00
loop_
_space_group_symop_operation_xyz
'x,y,z'
loop_
_atom_site_label
_atom_site_fract_x
_atom_site_fract_y
_atom_site_fract_z
_atom_site_occupancy
Sc1 0.0000 0.0000 0.0923 1
Sc2 0.0000 0.0000 0.9077 1
Sc3 0.5000 0.5000 0.4077 1
Sc4 0.5000 0.5000 0.5923 1
Bi1 0.0000 0.0000 0.5000 1
Bi2 0.5000 0.5000 0.0000 1
Br1 0.0000 0.0000 0.2563 1
Br2 0.0000 0.0000 0.7437 1
Br3 0.0000 0.5000 0.0000 1
Br4 0.0000 0.5000 0.5000 1
Br5 0.5000 0.0000 0.0000 1
Br6 0.5000 0.0000 0.5000 1
Br7 0.5000 0.5000 0.2437 1
Br8 0.5000 0.5000 0.7563 1
```

***

[3]
DFT (GGA-PBE) results for an optimized crystal structure of PaTiZn.

Computed properties:
The space-group type is P-6m2. For the energy, the calculation gives -6.110 eV per atom. Its formation energy is 112 meV per atom.

```
data_PaTiZn
_space_group_name_H-M_alt 'P 1'
_space_group_IT_number 1
_cell_length_a 4.7813
_cell_length_b 4.7813
_cell_length_c 3.0233
_cell_angle_alpha 90.00
_cell_angle_beta 90.00
_cell_angle_gamma 120.00
loop_
_space_group_symop_operation_xyz
'x,y,z'
loop_
_atom_site_label
_atom_site_fract_x
_atom_site_fract_y
_atom_site_fract_z
_atom_site_occupancy
Pa1 0.0000 0.0000 0.0000 1
Ti1 0.6667 0.3333 0.5000 1
Zn1 0.3333 0.6667 0.5000 1
```

***

[4]
DFT (GGA-PBE) results for an optimized crystal structure of ErHg2Pd8.

Computed properties:
The space-group type is C2/m. For the energy, the calculation gives -4.517 eV per atom. Its formation energy is -271 meV per atom.

```
data_ErHg2Pd8
_space_group_name_H-M_alt 'P 1'
_space_group_IT_number 1
_cell_length_a 7.9856
_cell_length_b 7.9856
_cell_length_c 4.9675
_cell_angle_alpha 107.80
_cell_angle_beta 107.80
_cell_angle_gamma 124.39
loop_
_space_group_symop_operation_xyz
'x,y,z'
loop_
_atom_site_label
_atom_site_fract_x
_atom_site_fract_y
_atom_site_fract_z
_atom_site_occupancy
Er1 0.0000 0.0000 0.0000 1
Hg1 0.3147 0.6853 0.5000 1
Hg2 0.6853 0.3147 0.5000 1
Pd1 0.1043 0.3720 0.7291 1
Pd2 0.1939 0.8061 0.0000 1
Pd3 0.3720 0.1043 0.7291 1
Pd4 0.4791 0.4791 0.2325 1
Pd5 0.5209 0.5209 0.7675 1
Pd6 0.6280 0.8957 0.2709 1
Pd7 0.8061 0.1939 0.0000 1
Pd8 0.8957 0.6280 0.2709 1
```

***

no.,N(E_F) (states/eV/f.u.)
1,3.322
2,7.147
3,6.096
4,6.083